# 1
This record from Alexandria describes a relaxed structure of MgTePCl2. The functional is PBE.

Geometry as POSCAR:
```
MgTePCl2
1.0
5.1834 0.0000 0.0000
0.0000 5.1834 0.0000
0.0000 0.0000 5.4410
Mg Te P Cl
1 1 1 2
Cartesian
0.0000 0.0000 0.0000 Mg
2.5917 2.5917 2.7205 Te
2.5917 2.5917 0.0000 P
0.0000 2.5917 2.7205 Cl
2.5917 0.0000 2.7205 Cl
```

Summary:
E_form (uncorrected) (meV/atom): 191
DOS(E_F) (states/eV/atom): 0.39
Density (g cm⁻³): 2.883
Energy above the most stable polymorph in this dataset (meV per atom): 498
Uncorrected energy (eV/cell): -12.9
Symmetry: No. 123



# 2
This record from Alexandria describes a relaxed structure of PmSm2Cl8. The functional is PBE.

Geometry as POSCAR:
```
PmSm2Cl8
1.0
4.2179 -6.1952 0.0000
4.2179 6.1952 0.0000
-1.5962 0.0000 5.1783
Pm Sm Cl
1 2 8
Cartesian
0.0000 0.0000 0.0000 Pm
3.4198 2.2828 2.5891 Sm
3.4198 -2.2828 2.5891 Sm
0.7180 1.5891 2.9856 Cl
4.2179 3.3151 0.0000 Cl
0.7180 -1.5891 2.9856 Cl
2.7976 0.0000 0.9348 Cl
4.0420 0.0000 4.2435 Cl
6.1216 1.5891 2.1927 Cl
4.2179 -3.3151 0.0000 Cl
6.1216 -1.5891 2.1927 Cl
```

Summary:
E_form (uncorrected) (meV/atom): -2038
DOS(E_F) (states/eV/atom): 0.44
Density (g cm⁻³): 4.475
Uncorrected energy (eV/cell): -51.4
Symmetry: No. 12



# 3
This record from Alexandria describes a relaxed structure of Os2PbCl2. The functional is PBE.

Geometry as POSCAR:
```
Os2PbCl2
1.0
8.2988 0.0000 0.0000
0.0000 8.2988 0.0000
0.0000 0.0000 2.9125
Os Pb Cl
4 2 4
Cartesian
1.8480 2.3014 0.0000 Os
2.3014 6.4508 0.0000 Os
5.9975 1.8480 0.0000 Os
6.4508 5.9975 0.0000 Os
0.0000 0.0000 1.4563 Pb
4.1494 4.1494 1.4563 Pb
1.0368 5.1862 1.4563 Cl
3.1126 1.0368 1.4563 Cl
5.1862 7.2620 1.4563 Cl
7.2620 3.1126 1.4563 Cl
```

Summary:
E_form (uncorrected) (meV/atom): 1355
DOS(E_F) (states/eV/atom): 1.05
Density (g cm⁻³): 10.904
Energy above the most stable polymorph in this dataset (meV per atom): 115
Uncorrected energy (eV/cell): -46.2
Symmetry: No. 127



# 4
This record from Alexandria describes a relaxed structure of Er3Tm2In6. The functional is PBE.

Geometry as POSCAR:
```
Er3Tm2In6
1.0
-2.8684 2.8684 11.0596
2.8684 -2.8684 11.0596
2.8684 2.8684 -11.0596
Er Tm In
3 2 6
Cartesian
0.0000 0.0000 0.0000 Er
0.0000 0.0000 3.2471 Er
0.0000 0.0000 18.8722 Er
0.0000 0.0000 9.3753 Tm
0.0000 0.0000 12.7440 Tm
2.8684 0.0000 1.5901 In
0.0000 0.0000 6.3233 In
2.8684 0.0000 9.4695 In
0.0000 2.8684 1.5901 In
0.0000 0.0000 15.7960 In
0.0000 2.8684 9.4695 In
```

Summary:
DOS(E_F) (states/eV/atom): 1.23
Density (g cm⁻³): 6.974
Formation energy (eV/f.u.): 1.33
Uncorrected energy (eV/cell): -37.7
Symmetry: No. 139



# 5
This record from Alexandria describes a relaxed structure of GdDyLuZn. The functional is PBE.

Geometry as POSCAR:
```
GdDyLuZn
1.0
0.0000 3.7492 3.7492
3.7492 0.0000 3.7492
3.7492 3.7492 0.0000
Gd Dy Lu Zn
1 1 1 1
Cartesian
0.0000 0.0000 0.0000 Gd
3.7492 3.7492 3.7492 Dy
1.8746 1.8746 1.8746 Lu
5.6238 5.6238 5.6238 Zn
```

Summary:
DOS(E_F) (states/eV/atom): 1.04
Density (g cm⁻³): 8.825
Formation energy (eV/f.u.): 0.04
Uncorrected energy (eV/cell): -24.4
Symmetry: No. 216



# 6
This record from Alexandria describes a relaxed structure of VCo4Pt. The functional is PBE.

Geometry as POSCAR:
```
VCo4Pt
1.0
4.0395 0.0000 0.0000
-2.0197 3.4983 0.0000
0.0000 0.0000 5.1292
V Co Pt
1 4 1
Cartesian
0.0000 0.0000 0.0000 V
0.0000 2.3322 1.2507 Co
0.0000 2.3322 3.8785 Co
2.0197 1.1661 1.2507 Co
2.0197 1.1661 3.8785 Co
0.0000 0.0000 2.5646 Pt
```

Summary:
DOS(E_F) (states/eV/atom): 0.90
Density (g cm⁻³): 11.037
Formation energy (eV/f.u.): -0.68
Energy above the most stable polymorph in this dataset (meV per atom): 0
Uncorrected energy (eV/cell): -44.3
Symmetry: No. 191



# 7
This record from Alexandria describes a relaxed structure of LaPrCu2S4. The functional is PBE.

Geometry as POSCAR:
```
LaPrCu2S4
1.0
-3.3396 3.3742 3.7954
3.3396 -3.3742 3.7954
3.3396 3.3742 -3.7954
La Pr Cu S
1 1 2 4
Cartesian
0.0000 0.0000 0.0000 La
0.0000 0.0000 3.7954 Pr
3.3396 0.0000 2.4482 Cu
0.0000 3.3742 1.3472 Cu
1.5705 1.8410 -1.6499 S
1.7692 -1.5333 5.4453 S
1.7692 1.5333 2.1456 S
1.5705 4.9075 1.6499 S
```

Summary:
E_form (uncorrected) (meV/atom): -1282
DOS(E_F) (states/eV/atom): 0.18
Density (g cm⁻³): 5.194
Uncorrected energy (eV/cell): -44.7
Symmetry: No. 23



# 8
This record from Alexandria describes a relaxed structure of NaTaGe2. The functional is PBE.

Geometry as POSCAR:
```
NaTaGe2
1.0
0.0000 3.3153 3.3153
3.3153 0.0000 3.3153
3.3153 3.3153 0.0000
Na Ta Ge
1 1 2
Cartesian
0.0000 0.0000 0.0000 Na
3.3153 3.3153 3.3153 Ta
1.6576 1.6576 1.6576 Ge
4.9729 4.9729 4.9729 Ge
```

Summary:
DOS(E_F) (states/eV/atom): 0.89
Density (g cm⁻³): 7.957
Formation energy (eV/f.u.): 1.38
Energy above the most stable polymorph in this dataset (meV per atom): 391
Uncorrected energy (eV/cell): -21.0
Symmetry: No. 225



# 9
This record from Alexandria describes a relaxed structure of K2BaZr. The functional is PBE.

Geometry as POSCAR:
```
K2BaZr
1.0
-2.5755 2.5755 14.7008
2.5755 -2.5755 14.7008
2.5755 2.5755 -14.7008
K Ba Zr
4 2 2
Cartesian
3.8633 1.2078 -3.6752 K
1.2078 1.2878 3.6752 K
-1.2878 1.3677 11.0256 K
1.3677 1.2878 18.3760 K
2.5755 0.0000 7.3504 Ba
0.0000 0.0000 14.7008 Ba
0.0000 0.0000 0.0000 Zr
0.0000 2.5755 7.3504 Zr
```

Summary:
DOS(E_F) (states/eV/atom): 1.45
Density (g cm⁻³): 2.612
Formation energy (eV/f.u.): 3.58
Energy above the most stable polymorph in this dataset (meV per atom): 314
Uncorrected energy (eV/cell): -18.2
Symmetry: No. 122



# 10
This record from Alexandria describes a relaxed structure of NbBi2Pd. The functional is PBE.

Geometry as POSCAR:
```
NbBi2Pd
1.0
-3.2954 3.2954 5.8523
3.2954 -3.2954 5.8523
3.2954 3.2954 -5.8523
Nb Bi Pd
2 4 2
Cartesian
0.0000 0.0000 0.0000 Nb
0.0000 3.2954 2.9262 Nb
1.6477 -1.5878 4.3893 Bi
1.7076 1.6477 1.4631 Bi
1.6477 4.8832 -1.4631 Bi
1.5878 1.6477 7.3154 Bi
3.2954 0.0000 2.9262 Pd
0.0000 0.0000 5.8523 Pd
```

Summary:
DOS(E_F) (states/eV/atom): 1.36
Density (g cm⁻³): 8.064
Formation energy (eV/f.u.): 2.55
Uncorrected energy (eV/cell): -41.0
Symmetry: No. 122



# 11
This record from Alexandria describes a relaxed structure of LaYTi2. The functional is PBE.

Geometry as POSCAR:
```
LaYTi2
1.0
0.0000 3.6624 3.6624
3.6624 0.0000 3.6624
3.6624 3.6624 0.0000
La Y Ti
1 1 2
Cartesian
0.0000 0.0000 0.0000 La
3.6624 3.6624 3.6624 Y
1.8312 1.8312 1.8312 Ti
5.4936 5.4936 5.4936 Ti
```

Summary:
DOS(E_F) (states/eV/atom): 1.99
Density (g cm⁻³): 5.468
Formation energy (eV/f.u.): 1.50
Energy above the most stable polymorph in this dataset (meV per atom): 0
Uncorrected energy (eV/cell): -25.7
Symmetry: No. 225



# 12
This record from Alexandria describes a relaxed structure of Zn2GePdCl. The functional is PBE.

Geometry as POSCAR:
```
Zn2GePdCl
1.0
4.6923 0.0000 0.0000
0.0000 4.6923 0.0000
0.0000 0.0000 4.9805
Zn Ge Pd Cl
2 1 1 1
Cartesian
0.0000 2.3461 0.0000 Zn
2.3461 0.0000 0.0000 Zn
0.0000 0.0000 2.4902 Ge
2.3461 2.3461 2.4902 Pd
0.0000 0.0000 0.0000 Cl
```

Summary:
E_form (uncorrected) (meV/atom): 721
DOS(E_F) (states/eV/atom): 0.51
Density (g cm⁻³): 5.229
Uncorrected energy (eV/cell): -10.6
Symmetry: No. 123



# 13
This record from Alexandria describes a relaxed structure of AlTl2SnSe4. The functional is PBE.

Geometry as POSCAR:
```
AlTl2SnSe4
1.0
4.8083 -4.5388 0.0000
4.8083 4.5388 0.0000
-4.3347 0.0000 5.6248
Al Tl Sn Se
1 2 1 4
Cartesian
0.0000 0.0000 0.0000 Al
2.6409 2.8940 2.8124 Tl
4.8083 0.4571 0.0000 Tl
2.6409 -1.8956 2.8124 Sn
-0.0509 1.0408 2.2036 Se
1.9927 -1.3812 0.1470 Se
5.3327 1.0408 3.4212 Se
3.2891 -1.3812 5.4778 Se
```

Summary:
E_form (uncorrected) (meV/atom): -527
DOS(E_F) (states/eV/atom): 0.17
Density (g cm⁻³): 5.886
Uncorrected energy (eV/cell): -30.6
Symmetry: No. 5